(1)
Compound: SrCrTc
Source: Alexandria via LeMat-Bulk
Functional: PBE
Structure: relaxed

formation enthalpy at 0 K	1938	meV per atom
excess energy over the best structure of this formula in the dataset	1.359	eV per atom
total magnetic moment	1.56	μB/f.u.

a = 6.9882 Å, b = 6.9882 Å, c = 6.9882 Å
α = 90.00°, β = 90.00°, γ = 90.00°
Closest atoms and distances in Å follow each position.
Space group F-43m (No. 216)
Inequivalent atoms, fractional coordinates:
Sr: 0.0000 0.0000 0.0000 (multiplicity 4)  4 Cr 3.03, 4 Tc 3.03
Cr: 0.2500 0.2500 0.7500 (multiplicity 4)  4 Sr 3.03
Tc: 0.2500 0.2500 0.2500 (multiplicity 4)  4 Sr 3.03

***

(2)
Compound: BaCd2In
Source: Alexandria via LeMat-Bulk
Functional: PBE
Structure: relaxed

formation enthalpy at 0 K	-206	meV per atom
total magnetic moment	0.00	μB/f.u.

a = 4.0622 Å, b = 5.1993 Å, c = 6.2365 Å
α = 90.00°, β = 90.00°, γ = 90.00°
Closest atoms and distances in Å follow each position.
Space group Pmmm (No. 47)
Inequivalent atoms, fractional coordinates:
Ba: 0.0000 0.0000 0.0000 (multiplicity 1)  8 Cd 3.66, 4 In 3.72, 2 Ba 4.06
Cd: 0.5000 0.5000 0.2532 (multiplicity 2)  2 In 3.02, 2 Cd 3.08-3.16
In: 0.5000 0.0000 0.5000 (multiplicity 1)  4 Cd 3.02

***

(3)
Compound: LaNd5Al4
Source: Alexandria via LeMat-Bulk
Functional: PBE
Structure: relaxed

formation enthalpy at 0 K	-269	meV per atom
total magnetic moment	0.00	μB/f.u.

a = 3.6923 Å, b = 3.6923 Å, c = 20.5293 Å
α = 90.00°, β = 90.00°, γ = 90.00°
Closest atoms and distances in Å follow each position.
Space group P4/mmm (No. 123)
Inequivalent atoms, fractional coordinates:
La: 0.0000 0.0000 0.0000 (multiplicity 1)  4 La 3.69, 8 Nd 3.76
Nd: 0.5000 0.5000 0.1316 (multiplicity 2)  4 Al 3.20
Nd: 0.5000 0.5000 0.3156 (multiplicity 2)  8 Al 3.22-3.25
Nd: 0.5000 0.5000 0.5000 (multiplicity 1)  8 Al 3.23
Al: 0.0000 0.0000 0.2215 (multiplicity 2)  8 Nd 3.20-3.25
Al: 0.0000 0.0000 0.4075 (multiplicity 2)  8 Nd 3.22-3.23

***

(4)
Compound: Cr2CuP
Source: Alexandria via LeMat-Bulk
Functional: PBE
Structure: relaxed

formation enthalpy at 0 K	198	meV per atom
total magnetic moment	0.00	μB/f.u.

a = 2.6283 Å, b = 2.6283 Å, c = 23.9078 Å
α = 90.00°, β = 90.00°, γ = 120.00°
Closest atoms and distances in Å follow each position.
Space group R-3m (No. 166, hexagonal axes)
Inequivalent atoms, fractional coordinates:
Cr: 0.0000 0.0000 0.2440 (multiplicity 6)  3 P 2.39, 3 Cu 2.62, 6 Cr 2.63
Cu: 0.0000 0.0000 0.0000 (multiplicity 3)  6 Cr 2.62, 6 Cu 2.63
P: 0.0000 0.0000 0.5000 (multiplicity 3)  6 Cr 2.39, 6 P 2.63

***

(5)
Compound: Ga2PtRh
Source: Alexandria via LeMat-Bulk
Functional: PBE
Structure: relaxed

formation enthalpy at 0 K	-606	meV per atom
total magnetic moment	0.00	μB/f.u.

a = 4.1209 Å, b = 4.1209 Å, c = 3.4524 Å
α = 90.00°, β = 90.00°, γ = 90.00°
Closest atoms and distances in Å follow each position.
Space group P4/mmm (No. 123)
Inequivalent atoms, fractional coordinates:
Ga: 0.0000 0.5000 0.0000 (multiplicity 2)  4 Rh 2.69, 4 Pt 2.69, 4 Ga 2.91
Pt: 0.0000 0.0000 0.5000 (multiplicity 1)  8 Ga 2.69, 4 Rh 2.91
Rh: 0.5000 0.5000 0.5000 (multiplicity 1)  8 Ga 2.69, 4 Pt 2.91

***

(6)
Compound: La3Tb8Tm
Source: Alexandria via LeMat-Bulk
Functional: PBE
Structure: relaxed

formation enthalpy at 0 K	587	meV per atom
total magnetic moment	0.00	μB/f.u.

a = 8.8331 Å, b = 8.8331 Å, c = 11.3495 Å
α = 90.00°, β = 90.00°, γ = 90.00°
Closest atoms and distances in Å follow each position.
Space group I-42m (No. 121)
Inequivalent atoms, fractional coordinates:
La: 0.0000 0.0000 0.0000 (multiplicity 2)  8 Tb 3.20-3.27
La: 0.0000 0.5000 0.2500 (multiplicity 4)  4 Tb 3.50
Tb: 0.1235 0.1235 0.2545 (multiplicity 8)  3 Tb 3.09-3.28, 1 Tm 3.18, 1 La 3.27
Tb: 0.2438 0.2438 0.5115 (multiplicity 8)  1 Tm 3.05, 1 La 3.20, 2 Tb 3.22-3.28
Tm: 0.0000 0.0000 0.5000 (multiplicity 2)  8 Tb 3.05-3.18

***

(7)
Compound: Th5Tl2Os2
Source: Alexandria via LeMat-Bulk
Functional: PBE
Structure: relaxed

formation enthalpy at 0 K	-73	meV per atom
excess energy over the best structure of this formula in the dataset	0.189	eV per atom
total magnetic moment	0.00	μB/f.u.

a = 17.6356 Å, b = 8.6474 Å, c = 6.9012 Å
α = 90.00°, β = 90.00°, γ = 90.00°
Closest atoms and distances in Å follow each position.
Space group Ima2 (No. 46)
Inequivalent atoms, fractional coordinates:
Th: 0.0325 0.2215 0.0000 (multiplicity 8)  2 Os 2.82-2.87
Th: 0.1547 0.5963 0.7125 (multiplicity 8)  2 Os 2.78-2.90
Th: 0.2500 0.2124 0.8091 (multiplicity 4)  2 Os 2.79-2.92
Tl: 0.1039 0.5391 0.2018 (multiplicity 8)  1 Os 2.90
Os: 0.0000 0.0000 0.2881 (multiplicity 4)  6 Th 2.82-2.90
Os: 0.2500 0.5083 0.0136 (multiplicity 4)  4 Th 2.78-2.92, 2 Tl 2.90

***

(8)
Compound: CdCo2Tc2
Source: Alexandria via LeMat-Bulk
Functional: PBE
Structure: relaxed

formation enthalpy at 0 K	304	meV per atom
excess energy over the best structure of this formula in the dataset	0.043	eV per atom
total magnetic moment	0.00	μB/f.u.

a = 7.4000 Å, b = 7.4000 Å, c = 2.6259 Å
α = 90.00°, β = 90.00°, γ = 90.00°
Closest atoms and distances in Å follow each position.
Space group P4/mbm (No. 127)
Inequivalent atoms, fractional coordinates:
Cd: 0.0000 0.0000 0.0000 (multiplicity 2)  2 Cd 2.63, 4 Tc 2.93
Co: 0.1655 0.3345 0.5000 (multiplicity 4)  6 Tc 2.53-2.57, 2 Co 2.63
Tc: 0.1230 0.6230 0.0000 (multiplicity 4)  6 Co 2.53-2.57, 3 Tc 2.57-2.63

***

(9)
Compound: Pm2HoGa3Rh4
Source: Alexandria via LeMat-Bulk
Functional: PBE
Structure: relaxed

formation enthalpy at 0 K	-792	meV per atom
total magnetic moment	0.00	μB/f.u.

a = 4.2724 Å, b = 4.2724 Å, c = 10.9027 Å
α = 90.00°, β = 90.00°, γ = 90.00°
Closest atoms and distances in Å follow each position.
Space group P-4m2 (No. 115)
Inequivalent atoms, fractional coordinates:
Pm: 0.0000 0.5000 0.2211 (multiplicity 2)  8 Rh 3.22-3.32, 4 Ga 3.22
Ho: 0.0000 0.0000 0.5000 (multiplicity 1)  4 Rh 2.71, 4 Ga 3.02
Ga: 0.0000 0.5000 0.8824 (multiplicity 2)  5 Rh 2.49-2.50
Ga: 0.5000 0.5000 0.5000 (multiplicity 1)  4 Rh 2.71, 4 Ho 3.02
Rh: 0.0000 0.0000 0.0000 (multiplicity 1)  4 Ga 2.49
Rh: 0.0000 0.5000 0.6528 (multiplicity 2)  3 Ga 2.50-2.71, 2 Ho 2.71
Rh: 0.5000 0.5000 0.0000 (multiplicity 1)  4 Ga 2.49

***

(10)
Compound: In2SnPt
Source: Alexandria via LeMat-Bulk
Functional: PBE
Structure: relaxed

formation enthalpy at 0 K	-43	meV per atom
total magnetic moment	0.00	μB/f.u.

a = 4.4471 Å, b = 4.4471 Å, c = 19.1488 Å
α = 90.00°, β = 90.00°, γ = 90.00°
Closest atoms and distances in Å follow each position.
Space group I-42d (No. 122)
Inequivalent atoms, fractional coordinates:
In: 0.2209 0.2500 0.1250 (multiplicity 8)  2 Pt 2.82, 2 Sn 2.92, 2 In 2.97
Sn: 0.0000 0.0000 0.5000 (multiplicity 4)  4 In 2.92, 4 Pt 3.14
Pt: 0.0000 0.0000 0.0000 (multiplicity 4)  4 In 2.82, 4 Sn 3.14